Density functional theory data (PBE+U) for crystalline KPaNiO4 at its relaxed geometry.

Geometry as POSCAR:
```
KPaNiO4
1.0
-3.397 3.631 4.489
3.397 -3.631 4.489
3.397 3.631 -4.489
K Pa Ni O
2 2 2 8
direct
0.387 0.137 0.250
0.613 0.863 0.750
0.000 0.500 0.500
0.500 0.500 0.000
0.000 0.000 0.500
0.000 0.500 0.000
0.171 0.731 0.440
0.209 0.269 0.940
0.246 0.301 0.556
0.246 0.690 0.944
0.754 0.310 0.056
0.754 0.699 0.444
0.791 0.731 0.060
0.829 0.269 0.560
```

Values from the calculation:
Theoretical density = 5.9 Mg/m³
Spin magnetization = 2.03 μB per formula unit
Uncorrected energy = -7.074 eV per atom
V = 15.82 Å³ per atom
DOS(E_F) = 0.00 states/eV/cell